First-principles (GGA-PBE) data for a relaxed NdThTlC crystal, as listed in the Alexandria database.

Results
* crystal system: monoclinic
* ΔH_f (0 K): -28 kJ per mole of atoms
* Fermi-level density of states: 2.89 states/eV/f.u.
* calculated density: 9.68 g/cm3
* DFT total energy: -6.23 eV/atom

Cell lengths 6.452, 3.723, 8.737 Å; angles 90.00, 104.32, 90.00 degrees
Space group Cm (No. 8)
Asymmetric unit:
Nd 0.000 0.000 0.000 x2
Th 0.221 0.000 0.663 x2
Tl 0.275 0.500 0.326 x2
C 0.106 0.500 0.818 x2

=====

First-principles (GGA-PBE) data for a relaxed AcSnHg2 crystal, as listed in the Alexandria database.

Results
* crystal system: tetragonal
* ΔH_f (0 K): -41 kJ per mole of atoms
* Fermi-level density of states: 1.91 states/eV/f.u.
* calculated density: 10.60 g/cm3
* DFT total energy: -2.60 eV/atom

Cell lengths 4.836, 4.836, 5.004 Å; angles 90.00, 90.00, 90.00 degrees
Space group P4/mmm (No. 123)
Asymmetric unit:
Ac 0.000 0.000 0.000 x1
Sn 0.500 0.500 0.000 x1
Hg 0.000 0.500 0.500 x2

=====

First-principles (GGA-PBE) data for a relaxed SrSb2Os crystal, as listed in the Alexandria database.

Results
* crystal system: trigonal
* formation energy from raw total energies: -243.8 meV per atom
* Fermi-level density of states: 1.68 states/eV/f.u.
* calculated density: 8.18 g/cm3
* DFT total energy: -5.53 eV/atom

Cell lengths 4.4230, 4.4230, 18.7317 Å; angles 90.00, 90.00, 120.00 degrees
Space group R3m (No. 160, hexagonal axes)
Asymmetric unit:
Sr 0.0000 0.0000 0.0000 x3
Sb 0.0000 0.0000 0.5558 x3
Sb 0.0000 0.0000 0.7830 x3
Os 0.0000 0.0000 0.1838 x3